1.
Entry from the Alexandria database: PrTmScTl after structural relaxation (PBE).

DOS at the Fermi energy: 1.202 states/eV per atom
Energy relative to the elements: -5 kJ/mol of atoms
Calculated volume: 113 Å³ per cell

Cell: 5.4233 5.4233 5.4233 Å, 60.00 60.00 60.00°
With the nearest neighbours (Å) after each atom.
Fractional positions:
Pr1 0.0000 0.0000 0.0000  4 Sc 3.32, 4 Tl 3.32
Tm1 0.5000 0.5000 0.5000  4 Tl 3.32, 4 Sc 3.32
Sc1 0.7500 0.7500 0.7500  4 Pr 3.32, 4 Tm 3.32
Tl1 0.2500 0.2500 0.2500  4 Pr 3.32, 4 Tm 3.32


2.
Entry from the Alexandria database: CaNdIn after structural relaxation (PBE).

DOS at the Fermi energy: 0.334 states/eV per atom
Energy relative to the elements: -41 kJ/mol of atoms
Calculated volume: 185 Å³ per cell

Cell: 5.5357 5.5357 6.9737 Å, 90.00 90.00 120.00°
With the nearest neighbours (Å) after each atom.
Fractional positions:
Ca1 0.0000 0.0000 0.0000  2 Ca 3.49, 6 In 3.64, 6 Nd 3.64
Ca2 0.0000 0.0000 0.5000  2 Ca 3.49, 6 In 3.64, 6 Nd 3.64
Nd1 0.3333 0.6667 0.2500  5 In 3.20-3.49
Nd2 0.6667 0.3333 0.7500  5 In 3.20-3.49
In1 0.3333 0.6667 0.7500  5 Nd 3.20-3.49
In2 0.6667 0.3333 0.2500  5 Nd 3.20-3.49